No. 1
Density functional theory data (PBE) for crystalline Hf3Ga4Cu2 at its relaxed geometry.

abc: 9.8310 4.1520 14.9127
angles: 90.00 100.77 90.00
Closest atoms and distances in Å follow each position.
Space group Cm (No. 8)
Asymmetric unit:
Hf 0.0000 0.0000 0.0000  8 Ga 2.83-3.13, 4 Cu 2.92-3.05
Hf 0.0491 0.5000 0.5281  8 Ga 2.86-3.08, 3 Cu 2.88-2.94
Hf 0.1649 0.5000 0.3335  9 Ga 2.83-3.17, 3 Cu 3.02-3.04
Hf 0.2179 0.0000 0.8582  6 Ga 2.83-2.99, 6 Cu 2.85-3.12
Hf 0.3301 0.0000 0.6702  7 Ga 2.85-3.05, 5 Cu 2.86-3.11
Hf 0.3818 0.5000 0.1935  8 Ga 2.87-3.12, 3 Cu 2.88-2.96
Ga 0.0068 0.5000 0.8612  3 Cu 2.43-2.67, 1 Ga 2.55
Ga 0.0406 0.0000 0.6716  3 Cu 2.41-2.63, 1 Ga 2.54
Ga 0.0483 0.5000 0.1361  1 Cu 2.43, 2 Ga 2.52
Ga 0.1774 0.0000 0.1978  3 Ga 2.52-2.54, 1 Cu 2.63
Ga 0.2103 0.5000 0.9950  2 Cu 2.41, 1 Ga 2.55
Ga 0.2155 0.0000 0.4723  1 Cu 2.43, 2 Ga 2.52
Ga 0.3460 0.5000 0.5327  3 Ga 2.52-2.54, 1 Cu 2.62
Ga 0.3769 0.0000 0.3333  2 Cu 2.40, 1 Ga 2.54
Cu 0.1512 0.5000 0.7264  3 Ga 2.41-2.67, 1 Cu 2.47
Cu 0.3073 0.0000 0.0591  4 Ga 2.41-2.63
Cu 0.3961 0.5000 0.8032  3 Ga 2.43-2.63, 1 Cu 2.47
Cu 0.4754 0.5000 0.3942  4 Ga 2.40-2.62

Properties
Total magnetic moment ... 0.00 μB/f.u.
Calculated density ... 10.46 g cm⁻³
Energy relative to the elements ... -0.408 eV/atom
Excess energy over the best structure of this formula in the dataset ... 0.006 eV per atom

No. 2
Density functional theory data (PBE) for crystalline HoHfGaCu at its relaxed geometry.

abc: 6.7914 6.7914 6.7914
angles: 90.00 90.00 90.00
Closest atoms and distances in Å follow each position.
Space group F-43m (No. 216)
Asymmetric unit:
Ho 0.0000 0.0000 0.0000  4 Cu 2.94, 4 Ga 2.94
Hf 0.0000 0.0000 0.5000  4 Ga 2.94, 4 Cu 2.94
Ga 0.2500 0.2500 0.2500  4 Hf 2.94, 4 Ho 2.94
Cu 0.2500 0.2500 0.7500  4 Hf 2.94, 4 Ho 2.94

Properties
Total magnetic moment ... 0.44 μB/f.u.
Calculated density ... 10.11 g cm⁻³
Energy relative to the elements ... -0.269 eV/atom

No. 3
Density functional theory data (PBE) for crystalline HfGaCu2I at its relaxed geometry.

abc: 4.7697 4.7697 5.4111
angles: 90.00 90.00 90.00
Closest atoms and distances in Å follow each position.
Space group P4/mmm (No. 123)
Asymmetric unit:
Hf 0.0000 0.0000 0.0000  2 I 2.71
Ga 0.5000 0.5000 0.0000  4 Hf 3.37, 8 Cu 3.61
Cu 0.0000 0.5000 0.5000  2 I 2.38
I 0.0000 0.0000 0.5000  4 Cu 2.38

Properties
Total magnetic moment ... 0.00 μB/f.u.
Calculated density ... 6.77 g cm⁻³
E_form (uncorrected) ... 5.67 eV per formula unit

No. 4
Density functional theory data (PBE) for crystalline HfGa2CuI at its relaxed geometry.

abc: 4.5583 4.5583 5.3682
angles: 90.00 90.00 90.00
Closest atoms and distances in Å follow each position.
Space group P4/mmm (No. 123)
Asymmetric unit:
Hf 0.0000 0.0000 0.0000  2 Cu 2.68
Ga 0.0000 0.5000 0.5000  2 Cu 2.28
Cu 0.0000 0.0000 0.5000  4 Ga 2.28
I 0.5000 0.5000 0.0000  4 Hf 3.22, 8 Ga 3.52

Properties
Total magnetic moment ... 0.00 μB/f.u.
Calculated density ... 7.57 g cm⁻³
E_form (uncorrected) ... 1.31 eV per formula unit